Arrangement one

Below is a relaxed structure of HfBe2Pt2, with properties calculated at the PBE-GGA level.

a = 7.1022 Å, b = 7.1022 Å, c = 2.7878 Å
α = 90.00°, β = 90.00°, γ = 90.00°
Sites, in units of the cell vectors:
Hf1 0.0000 0.0000 0.0000
Hf2 0.5000 0.5000 0.0000
Be1 0.6524 0.8476 0.5000
Be2 0.1524 0.6524 0.5000
Be3 0.3476 0.1524 0.5000
Be4 0.8476 0.3476 0.5000
Pt1 0.1424 0.3576 0.0000
Pt2 0.8576 0.6424 0.0000
Pt3 0.3576 0.8576 0.0000
Pt4 0.6424 0.1424 0.0000

Calculated volume (Å³ per atom): 14.1

---

Arrangement two

Below is a relaxed structure of HfBe2Pt2, with properties calculated at the PBE-GGA level.

a = 3.4374 Å, b = 3.4374 Å, c = 6.6317 Å
α = 74.98°, β = 74.98°, γ = 90.00°
Sites, in units of the cell vectors:
Hf1 0.0000 0.0000 0.0000
Be1 0.2500 0.7500 0.5000
Be2 0.7500 0.2500 0.5000
Pt1 0.3847 0.3847 0.2306
Pt2 0.6153 0.6153 0.7694

Calculated volume (Å³ per atom): 14.6

---

Stability summary: most stable arrangement two, least stable arrangement one.